A geometry-optimized TaTi structure, computed with PBE.

extended XYZ file:
```
8
Lattice="-5.1721 5.1721 1.4039 5.1721 -5.1721 1.4039 5.1721 5.1721 -1.4039" Properties=species:S:1:pos:R:3 pbc="T T T"
Ta 6.6914 1.1108 0.0000
Ta 1.1108 3.6527 0.0000
Ta 4.0612 1.5193 1.4039
Ta -1.5193 4.0612 1.4039
Ti 1.7259 0.8607 0.0000
Ti 4.3113 -3.4462 1.4039
Ti 0.8607 8.6183 0.0000
Ti 3.4462 4.3113 1.4039
```

Values from the calculation:
As for the total DFT energy (no corrections): -0.6941 Ry per atom. The value obtained for the theoretical density is 10.12 g/cm3. The volume comes out at 150.2 Å³/cell. As for the energy of formation from the pure elements: 0.43 eV/atom.